The following is a DFT calculation (PBE with a Hubbard U) of Rb2TaCoF after structural relaxation.

The structure in extended XYZ format:
```
5
Lattice="6.5600 0.0000 0.0000 0.0000 6.5600 0.0000 0.0000 0.0000 4.4174" Properties=species:S:1:pos:R:3 pbc="T T T"
Rb 0.0000 3.2800 0.0000
Rb 3.2800 0.0000 0.0000
Ta 0.0000 0.0000 2.2087
Co 0.0000 0.0000 0.0000
F 3.2800 3.2800 2.2087
```

Values from the calculation:
**Magnetization**: 1.238 μB per cell
**Space group**: No. 123
**Calculated total energy**: -3.47 eV/atom
**D(E_F)**: 6.110 states/eV/cell